1.
# ZrAlNi, optimized geometry, DFT PBE-GGA
# Energy of formation from the pure elements   -339 meV/atom
# DOS(E_F)   9.33 states/eV per cell
# Size of the total moment   0.00 μB/atom
# Energy   -19.09 eV/f.u.
data_ZrAlNi
_chemical_formula_sum 'Zr3 Al3 Ni3'
_symmetry_space_group_name_H-M 'P 1'
_symmetry_Int_Tables_number 1
_symmetry_space_group_name_Hall 'P 1'
_cell_length_a 2.751
_cell_length_b 7.268
_cell_length_c 7.268
_cell_angle_alpha 97.18
_cell_angle_beta 90.00
_cell_angle_gamma 90.00
loop_
_atom_site_label
_atom_site_type_symbol
_atom_site_fract_x
_atom_site_fract_y
_atom_site_fract_z
Zr1 Zr 0.000 0.000 0.000
Zr2 Zr 0.500 0.295 0.744
Zr3 Zr 0.500 0.744 0.295
Al1 Al 0.500 0.134 0.369
Al2 Al 0.500 0.369 0.134
Al3 Al 0.500 0.696 0.696
Ni1 Ni 0.000 0.444 0.444
Ni2 Ni 0.000 0.596 0.966
Ni3 Ni 0.000 0.966 0.596

2.
# CoPdSCl2, optimized geometry, DFT PBE-GGA
# Relative energy among the computed polymorphs   0.243 eV/atom
# DOS(E_F)   4.89 states/eV per cell
# Size of the total moment   0.51 μB/atom
# Energy   -17.47 eV/f.u.
data_CoPdSCl2
_chemical_formula_sum 'Co1 Pd1 S1 Cl2'
_symmetry_space_group_name_H-M 'P 1'
_symmetry_Int_Tables_number 1
_symmetry_space_group_name_Hall 'P 1'
_cell_length_a 4.760
_cell_length_b 4.760
_cell_length_c 4.835
_cell_angle_alpha 90.00
_cell_angle_beta 90.00
_cell_angle_gamma 90.00
loop_
_atom_site_label
_atom_site_type_symbol
_atom_site_fract_x
_atom_site_fract_y
_atom_site_fract_z
Co1 Co 0.000 0.000 0.000
Pd1 Pd 0.500 0.500 0.500
S1 S 0.500 0.500 0.000
Cl1 Cl 0.000 0.500 0.500
Cl2 Cl 0.500 0.000 0.500